DFT (GGA-PBE) results for an optimized crystal structure of Ce4PuPa3N8.

uncorrected formation energy: -1.562 eV/atom
crystal system: trigonal

Cell lengths 7.0737, 7.0712, 7.0737 Å; angles 120.01, 120.00, 90.00 degrees
Each line ends with the local moment (μB).
Sites, in units of the cell vectors:
N  0.2478  0.7298  0.9820  -0.03
N  0.7342  0.7298  0.9820  -0.03
N  0.7418  0.7255  0.4836  0.01
N  0.7522  0.2702  0.5043  -0.03
N  0.7522  0.2702  0.0180  -0.03
N  0.2478  0.7298  0.4957  -0.03
N  0.2658  0.2702  0.0180  -0.03
N  0.2582  0.2745  0.5164  0.01
Ce  0.5000  0.0000  0.5000  -0.04
Ce  0.0000  0.0000  0.5000  -0.04
Ce  0.5000  0.0000  0.0000  0.12
Ce  0.0000  0.0000  0.0000  -0.04
Pa  0.0000  0.5000  0.5000  0.00
Pa  0.5000  0.5000  0.0000  0.00
Pa  0.5000  0.5000  0.5000  0.00
Pu  0.0000  0.5000  0.0000  4.67



DFT (GGA-PBE) results for an optimized crystal structure of CePu2PaN4.

uncorrected formation energy: -1.434 eV/atom
crystal system: monoclinic

Cell lengths 3.5242, 6.1004, 6.0655 Å; angles 109.57, 90.00, 90.00 degrees
Each line ends with the local moment (μB).
Sites, in units of the cell vectors:
Ce  0.0000  0.0000  0.0000  0.36
N  0.0000  0.7354  0.2426  -0.11
N  0.5000  0.2642  0.2516  -0.12
N  0.0000  0.2646  0.7574  -0.11
N  0.5000  0.7358  0.7484  -0.12
Pa  0.5000  0.5000  0.0000  0.27
Pu  0.0000  0.5000  0.5000  4.70
Pu  0.5000  0.0000  0.5000  4.96



DFT (GGA-PBE) results for an optimized crystal structure of Ce2Pu3PaN6.

uncorrected formation energy: -1.423 eV/atom
crystal system: monoclinic

Cell lengths 6.1096, 6.1096, 6.0766 Å; angles 99.64, 99.64, 119.96 degrees
Each line ends with the local moment (μB).
Sites, in units of the cell vectors:
Pu  0.5000  0.5000  0.5000  4.82
Pu  0.1687  0.8313  0.5000  4.83
Pu  0.8313  0.1687  0.5000  4.83
N  0.7656  0.7656  0.2524  -0.12
N  0.5979  0.9165  0.7493  -0.13
N  0.4021  0.0835  0.2507  -0.13
N  0.0835  0.4021  0.2507  -0.13
N  0.9165  0.5979  0.7493  -0.13
N  0.2344  0.2344  0.7476  -0.12
Ce  0.6664  0.3336  0.0000  0.50
Ce  0.3336  0.6664  0.0000  0.50
Pa  0.0000  0.0000  0.0000  0.31



DFT (GGA-PBE) results for an optimized crystal structure of CePuPa2N6.

uncorrected formation energy: -1.388 eV/atom
crystal system: trigonal

Cell lengths 6.0150, 6.0149, 6.0217 Å; angles 60.04, 60.04, 60.00 degrees
Each line ends with the local moment (μB).
Sites, in units of the cell vectors:
N  0.4004  0.7052  0.7473  -0.07
N  0.2144  0.9104  0.2391  -0.08
N  0.7051  0.1472  0.7473  -0.07
N  0.6361  0.2144  0.2391  -0.08
N  0.9104  0.6361  0.2392  -0.08
N  0.1472  0.4004  0.7473  -0.07
Pu  0.3045  0.3045  0.0866  4.16
Pa  0.5268  0.5267  0.4198  0.04
Pa  0.0228  0.0228  0.9317  0.04
Ce  0.7940  0.7940  0.6179  0.21



DFT (GGA-PBE) results for an optimized crystal structure of CePuPaN4.

uncorrected formation energy: -1.220 eV/atom
crystal system: tetragonal

Cell lengths 3.7327, 3.7327, 7.9916 Å; angles 103.51, 103.51, 90.00 degrees
Each line ends with the local moment (μB).
Sites, in units of the cell vectors:
N  0.1828  0.1828  0.3657  -0.05
N  0.0440  0.5440  0.0881  -0.16
N  0.5440  0.0440  0.0881  -0.16
N  0.7988  0.7988  0.5975  -0.06
Ce  0.3154  0.3154  0.6307  0.50
Pa  0.6391  0.6391  0.2782  0.12
Pu  0.9759  0.9759  0.9517  4.23



DFT (GGA-PBE) results for an optimized crystal structure of Ce2PaReN6.

uncorrected formation energy: -0.984 eV/atom
crystal system: tetragonal

Cell lengths 4.8841, 5.6216, 5.6216 Å; angles 90.00, 90.00, 90.00 degrees
Each line ends with the local moment (μB).
Sites, in units of the cell vectors:
Pa  0.5834  0.5000  0.5000  0.02
N  0.7252  0.7639  0.7639  -0.01
N  0.7252  0.7639  0.2361  -0.01
N  0.7252  0.2361  0.7639  -0.01
N  0.2283  0.0000  0.0000  -0.01
N  0.7252  0.2361  0.2361  -0.01
N  0.1338  0.5000  0.5000  -0.03
Ce  0.0039  0.0000  0.5000  0.58
Ce  0.0039  0.5000  0.0000  0.58
Re  0.5926  0.0000  0.0000  0.17



DFT (GGA-PBE) results for an optimized crystal structure of Ce2PaReN5.

uncorrected formation energy: -1.036 eV/atom
crystal system: tetragonal

Cell lengths 6.5058, 6.5058, 7.4136 Å; angles 116.03, 116.03, 90.00 degrees
Sites, in units of the cell vectors:
Ce  0.6693  0.1693  0.0000
Ce  0.8307  0.6693  0.0000
Ce  0.3307  0.8307  0.0000
Ce  0.1693  0.3307  0.0000
N  0.5000  0.5000  0.0000
N  0.0148  0.5148  0.7101
N  0.5148  0.6953  0.7101
N  0.9852  0.4852  0.2899
N  0.0000  0.0000  0.0000
N  0.8047  0.9852  0.2899
N  0.3047  0.8047  0.2899
N  0.4852  0.3047  0.2899
N  0.1953  0.0148  0.7101
N  0.6953  0.1953  0.7101
Re  0.7500  0.2500  0.5000
Re  0.2500  0.7500  0.5000
Pa  0.2500  0.2500  0.5000
Pa  0.7500  0.7500  0.5000



DFT (GGA-PBE) results for an optimized crystal structure of Ce2PaReN4.

uncorrected formation energy: -0.559 eV/atom
crystal system: tetragonal

Cell lengths 6.1722, 5.3453, 5.3453 Å; angles 70.53, 54.74, 54.74 degrees
Each line ends with the local moment (μB).
Sites, in units of the cell vectors:
N  0.5342  0.0000  0.3495  -0.02
N  0.1163  0.3495  0.0000  -0.02
N  0.8837  0.0000  0.6505  -0.02
N  0.4658  0.6505  0.0000  -0.02
Pa  0.0000  0.0000  0.0000  0.49
Re  0.5000  0.0000  0.0000  0.08
Ce  0.5000  0.5000  0.5000  0.69
Ce  0.0000  0.5000  0.5000  0.69



Q: What is the formula in the seventh record?
A: Ce2PaReN5